a) Density functional theory data (PBE-GGA) for Nd3TlTe after structural relaxation.

Results
Spin magnetization ... 0.00 μB/atom

CIF file:
```
data_Nd3TlTe
_chemical_formula_sum 'Nd6 Tl2 Te2'
_space_group_name_H-M_alt 'P 1 21/m 1'
_space_group_IT_number 11
_space_group_name_Hall '-P 2yb'
_cell_length_a 8.7299
_cell_length_b 4.1585
_cell_length_c 9.2243
_cell_angle_alpha 90.00
_cell_angle_beta 106.78
_cell_angle_gamma 90.00
loop_
_atom_site_label
_atom_site_fract_x
_atom_site_fract_y
_atom_site_fract_z
_atom_site_occupancy
Nd1 0.1016 0.2500 0.2220 1
Nd2 0.3207 0.2500 0.9469 1
Nd3 0.3501 0.7500 0.5738 1
Tl1 0.0797 0.2500 0.6175 1
Te1 0.3920 0.7500 0.2306 1
```



b) Density functional theory data (PBE-GGA) for Nd3TlTe after structural relaxation.

Results
Spin magnetization ... 0.00 μB/atom

CIF file:
```
data_Nd3TlTe
_chemical_formula_sum 'Nd12 Tl4 Te4'
_space_group_name_H-M_alt 'P n m a'
_space_group_IT_number 62
_space_group_name_Hall '-P 2ac 2n'
_cell_length_a 8.3378
_cell_length_b 4.6594
_cell_length_c 16.8645
_cell_angle_alpha 90.00
_cell_angle_beta 90.00
_cell_angle_gamma 90.00
loop_
_atom_site_label
_atom_site_fract_x
_atom_site_fract_y
_atom_site_fract_z
_atom_site_occupancy
Nd1 0.0096 0.2500 0.1106 1
Nd2 0.1286 0.2500 0.5552 1
Nd3 0.1919 0.7500 0.2640 1
Tl1 0.0800 0.7500 0.6917 1
Te1 0.2170 0.2500 0.9507 1
```



Last place for stability: a)



a) Density functional theory data (PBE-GGA) for NdTmTe2 after structural relaxation.

Results
Spin magnetization ... 0.00 μB/atom

CIF file:
```
data_NdTmTe2
_chemical_formula_sum 'Nd3 Tm3 Te6'
_space_group_name_H-M_alt 'R 3 m'
_space_group_IT_number 160
_space_group_name_Hall 'R 3 -2"'
_cell_length_a 4.2766
_cell_length_b 4.2766
_cell_length_c 22.9209
_cell_angle_alpha 90.00
_cell_angle_beta 90.00
_cell_angle_gamma 120.00
loop_
_atom_site_label
_atom_site_fract_x
_atom_site_fract_y
_atom_site_fract_z
_atom_site_occupancy
Nd1 0.0000 0.0000 0.0000 1
Tm1 0.0000 0.0000 0.1737 1
Te1 0.0000 0.0000 0.5809 1
Te2 0.0000 0.0000 0.7588 1
```



b) Density functional theory data (PBE-GGA) for NdTmTe2 after structural relaxation.

Results
Spin magnetization ... 0.12 μB/atom

CIF file:
```
data_NdTmTe2
_chemical_formula_sum 'Nd1 Tm1 Te2'
_space_group_name_H-M_alt 'P 4/m m m'
_space_group_IT_number 123
_space_group_name_Hall '-P 4 2'
_cell_length_a 5.3881
_cell_length_b 5.3881
_cell_length_c 3.8208
_cell_angle_alpha 90.00
_cell_angle_beta 90.00
_cell_angle_gamma 90.00
loop_
_atom_site_label
_atom_site_fract_x
_atom_site_fract_y
_atom_site_fract_z
_atom_site_occupancy
Nd1 0.0000 0.0000 0.0000 1
Tm1 0.5000 0.5000 0.0000 1
Te1 0.0000 0.5000 0.5000 1
```



c) Density functional theory data (PBE-GGA) for NdTmTe2 after structural relaxation.

Results
Spin magnetization ... 0.00 μB/atom

CIF file:
```
data_NdTmTe2
_chemical_formula_sum 'Nd2 Tm2 Te4'
_space_group_name_H-M_alt 'P 4/n m m'
_space_group_IT_number 129
_cell_length_a 4.3187
_cell_length_b 4.3187
_cell_length_c 12.8706
_cell_angle_alpha 90.00
_cell_angle_beta 90.00
_cell_angle_gamma 90.00
loop_
_space_group_symop_operation_xyz
'x,y,z'
'-x,-y,-z'
'-y+1/2,x,z'
'y+1/2,-x,-z'
'-x+1/2,-y+1/2,z'
'x+1/2,y+1/2,-z'
'y,-x+1/2,z'
'-y,x+1/2,-z'
'x+1/2,-y,-z'
'-x+1/2,y,z'
'-y,-x,-z'
'y,x,z'
'-x,y+1/2,-z'
'x,-y+1/2,z'
'y+1/2,x+1/2,-z'
'-y+1/2,-x+1/2,z'
loop_
_atom_site_label
_atom_site_fract_x
_atom_site_fract_y
_atom_site_fract_z
_atom_site_occupancy
Nd1 0.2500 0.2500 0.0955 1
Tm1 0.2500 0.2500 0.5990 1
Te1 0.2500 0.2500 0.3633 1
Te2 0.2500 0.2500 0.8450 1
```



Last place for stability: b)



a) Density functional theory data (PBE-GGA) for NdTmTe2 after structural relaxation.

Results
Spin magnetization ... 0.28 μB/atom

CIF file:
```
data_NdTmTe2
_chemical_formula_sum 'Nd4 Tm4 Te8'
_space_group_name_H-M_alt 'F m -3 m'
_space_group_IT_number 225
_space_group_name_Hall '-F 4 2 3'
_cell_length_a 7.6357
_cell_length_b 7.6357
_cell_length_c 7.6357
_cell_angle_alpha 90.00
_cell_angle_beta 90.00
_cell_angle_gamma 90.00
loop_
_atom_site_label
_atom_site_fract_x
_atom_site_fract_y
_atom_site_fract_z
_atom_site_occupancy
Nd1 0.0000 0.0000 0.0000 1
Tm1 0.0000 0.0000 0.5000 1
Te1 0.2500 0.2500 0.2500 1
```



b) Density functional theory data (PBE-GGA) for NdTmTe2 after structural relaxation.

Results
Spin magnetization ... 0.00 μB/atom

CIF file:
```
data_NdTmTe2
_chemical_formula_sum 'Nd3 Tm3 Te6'
_space_group_name_H-M_alt 'R -3 m'
_space_group_IT_number 166
_space_group_name_Hall '-R 3 2"'
_cell_length_a 4.3253
_cell_length_b 4.3253
_cell_length_c 22.3259
_cell_angle_alpha 90.00
_cell_angle_beta 90.00
_cell_angle_gamma 120.00
loop_
_atom_site_label
_atom_site_fract_x
_atom_site_fract_y
_atom_site_fract_z
_atom_site_occupancy
Nd1 0.0000 0.0000 0.0000 1
Tm1 0.0000 0.0000 0.5000 1
Te1 0.0000 0.0000 0.2442 1
```



Last place for stability: a)



a) Density functional theory data (PBE-GGA) for NdTmTe3 after structural relaxation.

Results
Spin magnetization ... 0.00 μB/atom

CIF file:
```
data_NdTmTe3
_chemical_formula_sum 'Nd4 Tm4 Te12'
_space_group_name_H-M_alt 'C m c m'
_space_group_IT_number 63
_space_group_name_Hall '-C 2c 2'
_cell_length_a 4.3001
_cell_length_b 14.1767
_cell_length_c 10.7579
_cell_angle_alpha 90.00
_cell_angle_beta 90.00
_cell_angle_gamma 90.00
loop_
_atom_site_label
_atom_site_fract_x
_atom_site_fract_y
_atom_site_fract_z
_atom_site_occupancy
Nd1 0.0000 0.2494 0.2500 1
Tm1 0.0000 0.0000 0.0000 1
Te1 0.0000 0.0882 0.7500 1
Te2 0.0000 0.3541 0.5611 1
```



b) Density functional theory data (PBE-GGA) for NdTmTe3 after structural relaxation.

Results
Spin magnetization ... 0.00 μB/atom

CIF file:
```
data_NdTmTe3
_chemical_formula_sum 'Nd4 Tm4 Te12'
_space_group_name_H-M_alt 'P n m a'
_space_group_IT_number 62
_space_group_name_Hall '-P 2ac 2n'
_cell_length_a 8.2608
_cell_length_b 4.3901
_cell_length_c 17.3577
_cell_angle_alpha 90.00
_cell_angle_beta 90.00
_cell_angle_gamma 90.00
loop_
_atom_site_label
_atom_site_fract_x
_atom_site_fract_y
_atom_site_fract_z
_atom_site_occupancy
Nd1 0.1358 0.2500 0.1997 1
Tm1 0.2275 0.7500 0.4585 1
Te1 0.0058 0.2500 0.3947 1
Te2 0.1183 0.7500 0.0620 1
Te3 0.1567 0.2500 0.7866 1
```



Last place for stability: b)



a) Density functional theory data (PBE-GGA) for Nd2UTe4 after structural relaxation.

Results
Spin magnetization ... 0.55 μB/atom

CIF file:
```
data_Nd2UTe4
_chemical_formula_sum 'Nd8 U4 Te16'
_space_group_name_H-M_alt 'I -4 2 d'
_space_group_IT_number 122
_space_group_name_Hall 'I -4 2bw'
_cell_length_a 9.4764
_cell_length_b 9.4764
_cell_length_c 9.4335
_cell_angle_alpha 90.00
_cell_angle_beta 90.00
_cell_angle_gamma 90.00
loop_
_atom_site_label
_atom_site_fract_x
_atom_site_fract_y
_atom_site_fract_z
_atom_site_occupancy
Nd1 0.1241 0.7500 0.1250 1
U1 0.0000 0.0000 0.5000 1
Te1 0.0754 0.6754 0.4541 1
```



b) Density functional theory data (PBE-GGA) for Nd2UTe4 after structural relaxation.

Results
Spin magnetization ... 0.47 μB/atom

CIF file:
```
data_Nd2UTe4
_chemical_formula_sum 'Nd8 U4 Te16'
_space_group_name_H-M_alt 'C m c m'
_space_group_IT_number 63
_space_group_name_Hall '-C 2c 2'
_cell_length_a 4.3445
_cell_length_b 14.7588
_cell_length_c 15.1637
_cell_angle_alpha 90.00
_cell_angle_beta 90.00
_cell_angle_gamma 90.00
loop_
_atom_site_label
_atom_site_fract_x
_atom_site_fract_y
_atom_site_fract_z
_atom_site_occupancy
Nd1 0.0000 0.1345 0.0678 1
U1 0.0000 0.3778 0.2500 1
Te1 0.0000 0.0323 0.2500 1
Te2 0.0000 0.2213 0.6276 1
Te3 0.0000 0.5000 0.0000 1
```



Last place for stability: b)